Record 1
Density functional theory data (PBE) for an optimized crystal structure of Nb2MoW5.

Geometry as extended XYZ:
```
16
Lattice="-0.137 0.896 -4.457 -5.380 0.972 0.361 2.006 10.349 2.019" Properties=species:S:1:pos:R:3 pbc="T T T"
W -3.038 3.250 0.746
W 0.295 7.000 -0.923
W 0.000 0.000 0.000
Nb 0.817 9.681 -0.400
W -1.865 10.223 -0.208
Nb -4.327 2.537 -1.678
W -0.357 2.720 0.558
W -1.687 5.661 1.190
W -0.335 8.072 1.633
W -3.805 5.218 -1.155
Mo 1.003 5.175 1.009
Mo -2.690 0.486 0.180
W -3.017 8.602 1.822
Nb -2.382 7.542 -0.732
Nb -1.128 4.676 -1.346
W -1.646 1.995 -1.869
```

* space-group type: Pbam
* total moment: 0.00 μB per formula unit
* E_form: 0.09 eV/atom
* total energy: -11.8725 eV per atom

***

Record 2
Density functional theory data (PBE) for an optimized crystal structure of SrRhPb2.

Geometry as extended XYZ:
```
4
Lattice="5.695 0.091 0.000 1.620 5.460 0.000 -3.657 -2.775 3.370" Properties=species:S:1:pos:R:3 pbc="T T T"
Pb 0.000 0.000 0.000
Rh 3.657 2.775 0.000
Pb 0.810 2.730 1.685
Sr 2.847 0.045 1.685
```

* space-group type: I-4m2
* total moment: 0.00 μB per formula unit
* E_form: -0.03 eV/atom
* total energy: -4.1452 eV per atom

***

Record 3
Density functional theory data (PBE) for an optimized crystal structure of Ir2SO.

Geometry as extended XYZ:
```
8
Lattice="5.437 0.000 0.000 0.000 5.437 0.000 2.718 2.718 4.170" Properties=species:S:1:pos:R:3 pbc="T T T"
O 2.718 5.437 2.085
Ir 4.040 1.359 1.043
Ir 6.796 6.759 3.128
S 0.000 0.000 0.000
Ir 4.078 4.115 3.128
Ir 1.397 4.078 1.043
S 5.437 2.718 2.085
O 2.718 2.718 0.000
```

* space-group type: I-42d
* formation energy without anion corrections: 0.320 eV/atom
* total moment: 0.00 μB per formula unit
* total energy: -6.3822 eV per atom

***

Record 4
Density functional theory data (PBE) for an optimized crystal structure of Sb3RuPt.

Geometry as extended XYZ:
```
5
Lattice="5.164 0.000 0.000 0.000 5.164 0.000 0.000 0.000 5.164" Properties=species:S:1:pos:R:3 pbc="T T T"
Sb 0.000 2.582 0.000
Sb 2.582 0.000 0.000
Ru 2.582 2.582 2.582
Sb 0.000 0.000 2.582
Pt 0.000 0.000 0.000
```

* space-group type: Pm-3m
* formation energy without anion corrections: 1.015 eV/atom
* total moment: 1.11 μB per formula unit
* total energy: -4.5217 eV per atom

***

Record 5
Density functional theory data (PBE) for an optimized crystal structure of RbAg2Sn4.

Geometry as extended XYZ:
```
7
Lattice="5.230 0.000 0.000 0.000 5.268 0.000 0.000 -2.634 7.375" Properties=species:S:1:pos:R:3 pbc="T T T"
Sn 2.615 2.634 4.647
Sn 2.615 0.000 2.728
Sn 0.000 0.000 4.523
Sn 0.000 2.634 2.852
Ag 2.615 0.000 5.964
Rb 0.000 0.000 0.000
Ag 2.615 2.634 1.411
```

* space-group type: Cmmm
* total moment: 0.00 μB per formula unit
* E_form: -0.02 eV/atom
* total energy: -3.2580 eV per atom

***

Record 6
Density functional theory data (PBE) for an optimized crystal structure of VRu2Cl.

Geometry as extended XYZ:
```
8
Lattice="5.338 0.000 0.000 0.000 5.338 0.000 2.669 2.669 5.399" Properties=species:S:1:pos:R:3 pbc="T T T"
V 0.000 0.000 0.000
Ru 1.293 4.003 1.350
Cl 2.669 5.338 2.699
Ru 6.672 6.714 4.049
Ru 4.003 3.962 4.049
Cl 2.669 2.669 0.000
V 5.338 2.669 2.699
Ru 4.045 1.334 1.350
```

* space-group type: I-42d
* formation energy without anion corrections: 0.724 eV/atom
* total moment: 0.00 μB per formula unit
* total energy: -6.6552 eV per atom

***

> The highest total moment belongs to which entry?

Sb3RuPt

***

> The highest total moment belongs to which entry?

Sb3RuPt

***

> total energy of number 3 (Ir2SO)?

-6.3822 eV per atom